No. 1
! Ta2Nb3S8 | the Alexandria database | PBE | optimized geometry; values from VASP
&SYSTEM
  ibrav = 0, nat = 13, ntyp = 3
/
ATOMIC_SPECIES
Ta 180.95 Ta.upf
Nb 92.91 Nb.upf
S 32.06 S.upf
ATOMIC_POSITIONS crystal
Ta 0.2992 0.2228 0.4455
Ta 0.7008 0.7772 0.5545
Nb 0.5000 0.0000 0.0000
Nb 0.0000 0.2774 0.0000
Nb 0.0000 0.7226 0.0000
S 0.8800 0.6222 0.2443
S 0.1200 0.3778 0.7557
S 0.9044 0.1149 0.2297
S 0.0956 0.8851 0.7703
S 0.5830 0.6075 0.7457
S 0.5830 0.1382 0.7457
S 0.4170 0.8618 0.2543
S 0.4170 0.3925 0.2543
CELL_PARAMETERS angstrom
5.9715 0.0000 0.3112
0.0000 6.9635 0.0000
-2.0651 -3.4817 5.8548
! Calculated density (g/cm³): 6.01
! Crystal system: monoclinic
! Formation energy without anion corrections (eV per formula unit): -11.2


No. 2
! TaNbS | the Alexandria database | PBE | optimized geometry; values from VASP
&SYSTEM
  ibrav = 0, nat = 6, ntyp = 3
/
ATOMIC_SPECIES
S 32.06 S.upf
Nb 92.91 Nb.upf
Ta 180.95 Ta.upf
ATOMIC_POSITIONS crystal
S 0.0000 0.5000 0.6276
S 0.5000 0.0000 0.3724
Nb 0.5000 0.0000 0.7297
Nb 0.0000 0.5000 0.2703
Ta 0.0000 0.5000 0.9162
Ta 0.5000 0.0000 0.0838
CELL_PARAMETERS angstrom
-0.6016 2.9376 1.4800
-1.8391 0.9470 -2.6273
-7.6303 -3.5998 4.0435
! Offset from the most stable computed form (kJ per mole of atoms): 0.0
! Calculated density (g/cm³): 9.71
! Crystal system: tetragonal
! Formation energy without anion corrections (eV per formula unit): -1.9


No. 3
! TaNbS4 | the Alexandria database | PBE | optimized geometry; values from VASP
&SYSTEM
  ibrav = 0, nat = 6, ntyp = 3
/
ATOMIC_SPECIES
Ta 180.95 Ta.upf
Nb 92.91 Nb.upf
S 32.06 S.upf
ATOMIC_POSITIONS crystal
Ta 0.5000 0.0000 0.0000
Nb 0.0000 0.5000 0.5000
S 0.0000 0.2041 0.2041
S 0.0000 0.7959 0.7959
S 0.5000 0.7078 0.2922
S 0.5000 0.2922 0.7078
CELL_PARAMETERS angstrom
-1.0576 -2.2620 -2.2386
1.5062 -4.4702 3.8054
-5.5454 0.1790 2.4390
! Calculated density (g/cm³): 5.42
! Crystal system: orthorhombic
! Formation energy without anion corrections (eV per formula unit): -5.2


No. 4
! TaNb2S | the Alexandria database | PBE | optimized geometry; values from VASP
&SYSTEM
  ibrav = 0, nat = 8, ntyp = 3
/
ATOMIC_SPECIES
Nb 92.91 Nb.upf
S 32.06 S.upf
Ta 180.95 Ta.upf
ATOMIC_POSITIONS crystal
Nb 0.5337 0.1250 0.2500
Nb 0.2163 0.6250 0.2500
Nb 0.3750 0.4663 0.7500
Nb 0.8750 0.7837 0.7500
S 0.5000 0.5000 0.0000
S 0.2500 0.7500 0.5000
Ta 0.0000 0.0000 0.0000
Ta 0.7500 0.2500 0.5000
CELL_PARAMETERS angstrom
7.7455 0.0000 0.0000
0.0000 7.7455 0.0000
3.8727 3.8727 2.4665
! Calculated density (g/cm³): 8.95
! Crystal system: tetragonal
! Formation energy without anion corrections (eV per formula unit): 0.0


No. 5
! TaNb4S8 | the Alexandria database | PBE | optimized geometry; values from VASP
&SYSTEM
  ibrav = 0, nat = 13, ntyp = 3
/
ATOMIC_SPECIES
Ta 180.95 Ta.upf
Nb 92.91 Nb.upf
S 32.06 S.upf
ATOMIC_POSITIONS crystal
Ta 0.0000 0.5000 0.5000
Nb 0.0000 0.0000 0.0000
Nb 0.0000 0.5000 0.0000
Nb 0.5000 0.5000 0.0000
Nb 0.5000 0.0000 0.0000
S 0.5054 0.7527 0.2581
S 0.4946 0.2473 0.7419
S 0.5021 0.2511 0.2683
S 0.9827 0.2338 0.7317
S 0.4979 0.7489 0.7317
S 0.9827 0.7489 0.7317
S 0.0173 0.2511 0.2683
S 0.0173 0.7662 0.2683
CELL_PARAMETERS angstrom
6.0204 -0.0004 -3.2481
-3.8862 5.6297 -0.0004
-0.0607 -0.0414 7.0911
! Calculated density (g/cm³): 5.63
! Crystal system: trigonal
! Formation energy without anion corrections (eV per formula unit): -12.1


No. 6
! TaNb2S6 | the Alexandria database | PBE | optimized geometry; values from VASP
&SYSTEM
  ibrav = 0, nat = 18, ntyp = 3
/
ATOMIC_SPECIES
Ta 180.95 Ta.upf
Nb 92.91 Nb.upf
S 32.06 S.upf
ATOMIC_POSITIONS crystal
Ta 0.5000 0.5000 0.0000
Ta 0.0000 0.0000 0.5000
Nb 0.9229 0.3426 0.7523
Nb 0.5771 0.8426 0.7477
Nb 0.4229 0.1574 0.2523
Nb 0.0771 0.6574 0.2477
S 0.8166 0.9548 0.2749
S 0.8188 0.6543 0.5842
S 0.8415 0.6758 0.9121
S 0.6585 0.1758 0.5879
S 0.6812 0.1543 0.9158
S 0.6834 0.4548 0.2251
S 0.1834 0.0452 0.7251
S 0.1812 0.3457 0.4158
S 0.1585 0.3242 0.0879
S 0.3415 0.8242 0.4121
S 0.3188 0.8457 0.0842
S 0.3166 0.5452 0.7749
CELL_PARAMETERS angstrom
6.0196 0.0000 0.2448
0.0000 6.0498 0.0000
-0.4005 0.0000 9.6129
! Offset from the most stable computed form (kJ per mole of atoms): 22.5
! Calculated density (g/cm³): 5.30
! Crystal system: monoclinic
! Formation energy without anion corrections (eV per formula unit): -7.0